A relaxed BeP3Au crystal. Source: Alexandria via LeMat-Bulk, functional PBE-GGA.

## Properties
size of the total moment: 0.000 μB per atom
energy above the most stable polymorph in this dataset: 844.7 meV per atom
energy relative to the elements: 1.5726 eV per atom
density: 4.44 g/cm3

Lattice parameters (Å, degrees): 4.818 4.818 4.818 90.00 90.00 90.00
Space group Pm-3m (No. 221)
Inequivalent atoms, fractional coordinates:
Be 0.000 0.000 0.000
P 0.000 0.500 0.500
Au 0.500 0.500 0.500

A relaxed BeP2Au crystal. Source: Alexandria via LeMat-Bulk, functional PBE-GGA.

## Properties
size of the total moment: 0.000 μB per atom
energy relative to the elements: 0.3836 eV per atom
density: 6.96 g/cm3

Lattice parameters (Å, degrees): 2.674 2.674 8.934 90.00 90.00 90.00
Space group P4mm (No. 99)
Inequivalent atoms, fractional coordinates:
Be 0.000 0.000 0.000
P 0.000 0.000 0.542
P 0.500 0.500 0.166
Au 0.500 0.500 0.801

A relaxed Be3PAu crystal. Source: Alexandria via LeMat-Bulk, functional PBE-GGA.

## Properties
size of the total moment: 0.000 μB per atom
energy relative to the elements: 0.5127 eV per atom
density: 6.10 g/cm3

Lattice parameters (Å, degrees): 4.110 4.110 4.110 90.00 90.00 90.00
Space group Pm-3m (No. 221)
Inequivalent atoms, fractional coordinates:
Be 0.000 0.000 0.500
P 0.000 0.000 0.000
Au 0.500 0.500 0.500

A relaxed BeP2Au crystal. Source: Alexandria via LeMat-Bulk, functional PBE-GGA.

## Properties
size of the total moment: 0.000 μB per atom
energy relative to the elements: 0.1390 eV per atom
density: 6.19 g/cm3

Lattice parameters (Å, degrees): 5.099 5.099 11.058 90.00 90.00 90.00
Space group I-42d (No. 122)
Inequivalent atoms, fractional coordinates:
Be 0.000 0.000 0.000
P 0.201 0.250 0.125
Au 0.000 0.000 0.500

A relaxed BeP3Au crystal. Source: Alexandria via LeMat-Bulk, functional PBE-GGA.

## Properties
size of the total moment: 0.000 μB per atom
energy above the most stable polymorph in this dataset: 0.0 meV per atom
energy relative to the elements: 0.7279 eV per atom
density: 6.36 g/cm3

Lattice parameters (Å, degrees): 4.274 4.274 4.274 90.00 90.00 90.00
Space group Pm-3m (No. 221)
Inequivalent atoms, fractional coordinates:
Be 0.000 0.000 0.000
P 0.000 0.000 0.500
Au 0.500 0.500 0.500

A relaxed BePAu2 crystal. Source: Alexandria via LeMat-Bulk, functional PBE-GGA.

## Properties
size of the total moment: 0.000 μB per atom
energy above the most stable polymorph in this dataset: 302.4 meV per atom
energy relative to the elements: 0.3982 eV per atom
density: 11.67 g/cm3

Lattice parameters (Å, degrees): 6.274 6.274 6.274 90.00 90.00 90.00
Space group Fm-3m (No. 225)
Inequivalent atoms, fractional coordinates:
Be 0.000 0.000 0.000
P 0.000 0.000 0.500
Au 0.250 0.250 0.250

A relaxed BePAu2 crystal. Source: Alexandria via LeMat-Bulk, functional PBE-GGA.

## Properties
size of the total moment: 0.000 μB per atom
energy above the most stable polymorph in this dataset: 136.4 meV per atom
energy relative to the elements: 0.2323 eV per atom
density: 11.70 g/cm3

Lattice parameters (Å, degrees): 3.0047 3.0047 23.6228 90.00 90.00 120.00
Space group R-3m (No. 166, hexagonal axes)
Inequivalent atoms, fractional coordinates:
Be 0.0000 0.0000 0.0000
P 0.0000 0.0000 0.5000
Au 0.0000 0.0000 0.2593

A relaxed BePAu2 crystal. Source: Alexandria via LeMat-Bulk, functional PBE-GGA.

## Properties
size of the total moment: 0.000 μB per atom
energy above the most stable polymorph in this dataset: 87.1 meV per atom
energy relative to the elements: 0.1830 eV per atom
density: 11.61 g/cm3

Lattice parameters (Å, degrees): 3.381 4.463 8.229 90.00 90.00 90.00
Space group Cmm2 (No. 35)
Inequivalent atoms, fractional coordinates:
Be 0.000 0.000 0.000
P 0.000 0.500 0.821
Au 0.000 0.000 0.509
Au 0.000 0.500 0.210

Look up the size of the total moment of the fifth one. 0.000 μB per atom

What is the size of the total moment in the second record? 0.000 μB per atom

Copy entry 1 word for word.
A relaxed BeP3Au crystal. Source: Alexandria via LeMat-Bulk, functional PBE-GGA.

## Properties
size of the total moment: 0.000 μB per atom
energy above the most stable polymorph in this dataset: 844.7 meV per atom
energy relative to the elements: 1.5726 eV per atom
density: 4.44 g/cm3

Lattice parameters (Å, degrees): 4.818 4.818 4.818 90.00 90.00 90.00
Space group Pm-3m (No. 221)
Inequivalent atoms, fractional coordinates:
Be 0.000 0.000 0.000
P 0.000 0.500 0.500
Au 0.500 0.500 0.500